VASP calculation (GGA-PBE) on a relaxed structure of TlCdPt2.

SG: P2/m (10)
Magnetic moment in μB/cell: 0.00
Formation energy in eV/atom: -0.09
Density of states at the Fermi level in states/eV per cell: 1.45

```
data_TlCdPt2
_cell_length_a 4.052
_cell_length_b 3.026
_cell_length_c 6.758
_cell_angle_alpha 63.28
_cell_angle_beta 90.00
_cell_angle_gamma 90.00
_symmetry_space_group_name_H-M 'P 1'
_symmetry_Int_Tables_number 1
loop_
_symmetry_equiv_pos_as_xyz
'x,y,z'
loop_
_atom_site_label
_atom_site_type_symbol
_atom_site_fract_x
_atom_site_fract_y
_atom_site_fract_z
Tl1 Tl 0.500 0.250 0.250
Pt1 Pt 0.000 0.008 0.991
Pt2 Pt 0.000 0.492 0.509
Cd1 Cd 0.500 0.750 0.750
```



VASP calculation (GGA-PBE) on a relaxed structure of Ac3Ga2HgPd6.

SG: P-3m1 (164)
Magnetic moment in μB/cell: 0.00
Formation energy in eV/atom: -0.63
Density of states at the Fermi level in states/eV per cell: 5.31

```
data_Ac3Ga2HgPd6
_cell_length_a 5.930
_cell_length_b 5.930
_cell_length_c 9.106
_cell_angle_alpha 90.00
_cell_angle_beta 90.00
_cell_angle_gamma 120.00
_symmetry_space_group_name_H-M 'P 1'
_symmetry_Int_Tables_number 1
loop_
_symmetry_equiv_pos_as_xyz
'x,y,z'
loop_
_atom_site_label
_atom_site_type_symbol
_atom_site_fract_x
_atom_site_fract_y
_atom_site_fract_z
Ac1 Ac 0.333 0.667 0.635
Ac2 Ac 0.667 0.333 0.365
Ac3 Ac 0.000 0.000 0.000
Ga1 Ga 0.667 0.333 0.967
Ga2 Ga 0.333 0.667 0.033
Hg1 Hg 0.000 0.000 0.500
Pd1 Pd 0.648 0.824 0.268
Pd2 Pd 0.176 0.352 0.268
Pd3 Pd 0.176 0.824 0.268
Pd4 Pd 0.824 0.648 0.732
Pd5 Pd 0.352 0.176 0.732
Pd6 Pd 0.824 0.176 0.732
```



VASP calculation (GGA-PBE) on a relaxed structure of NbIn2I6.

Formation energy from raw total energies in meV per atom: -429
SG: C2/m (12)
Magnetic moment in μB/cell: 1.00
Relative energy among the computed polymorphs in meV per atom: 26
Density of states at the Fermi level in states/eV per cell: 5.09

```
data_NbIn2I6
_cell_length_a 7.009
_cell_length_b 8.168
_cell_length_c 8.168
_cell_angle_alpha 61.22
_cell_angle_beta 80.01
_cell_angle_gamma 80.01
_symmetry_space_group_name_H-M 'P 1'
_symmetry_Int_Tables_number 1
loop_
_symmetry_equiv_pos_as_xyz
'x,y,z'
loop_
_atom_site_label
_atom_site_type_symbol
_atom_site_fract_x
_atom_site_fract_y
_atom_site_fract_z
Nb1 Nb 0.000 0.000 0.000
In1 In 0.889 0.720 0.720
In2 In 0.111 0.280 0.280
I1 I 0.212 0.314 0.841
I2 I 0.277 0.824 0.824
I3 I 0.212 0.841 0.314
I4 I 0.788 0.686 0.159
I5 I 0.723 0.176 0.176
I6 I 0.788 0.159 0.686
```



VASP calculation (GGA-PBE) on a relaxed structure of Ca3CeBi3.

SG: P2_13 (198)
Magnetic moment in μB/cell: 4.08
Formation energy in eV/atom: -0.85
Density of states at the Fermi level in states/eV per cell: 26.69

```
data_Ca3CeBi3
_cell_length_a 9.744
_cell_length_b 9.744
_cell_length_c 9.744
_cell_angle_alpha 90.00
_cell_angle_beta 90.00
_cell_angle_gamma 90.00
_symmetry_space_group_name_H-M 'P 1'
_symmetry_Int_Tables_number 1
loop_
_symmetry_equiv_pos_as_xyz
'x,y,z'
loop_
_atom_site_label
_atom_site_type_symbol
_atom_site_fract_x
_atom_site_fract_y
_atom_site_fract_z
Ca1 Ca 0.822 0.322 0.178
Ca2 Ca 0.930 0.930 0.930
Ca3 Ca 0.824 0.676 0.324
Ca4 Ca 0.178 0.822 0.322
Ca5 Ca 0.176 0.176 0.176
Ca6 Ca 0.324 0.824 0.676
Ca7 Ca 0.070 0.430 0.570
Ca8 Ca 0.322 0.178 0.822
Ca9 Ca 0.676 0.324 0.824
Ca10 Ca 0.678 0.678 0.678
Ca11 Ca 0.570 0.070 0.430
Ca12 Ca 0.430 0.570 0.070
Ce1 Ce 0.070 0.570 0.930
Ce2 Ce 0.930 0.070 0.570
Ce3 Ce 0.430 0.430 0.430
Ce4 Ce 0.570 0.930 0.070
Bi1 Bi 0.750 0.629 0.000
Bi2 Bi 0.871 0.000 0.250
Bi3 Bi 0.000 0.750 0.629
Bi4 Bi 0.129 0.500 0.250
Bi5 Bi 0.250 0.129 0.500
Bi6 Bi 0.250 0.871 0.000
Bi7 Bi 0.000 0.250 0.871
Bi8 Bi 0.371 0.500 0.750
Bi9 Bi 0.500 0.250 0.129
Bi10 Bi 0.629 0.000 0.750
Bi11 Bi 0.750 0.371 0.500
Bi12 Bi 0.500 0.750 0.371
```